1.
Below is crystalline NiTeWN2 at its relaxed geometry, with properties calculated at the PBE-GGA level.

It has space group P4/mmm (No. 123), with a = 3.823 Å, b = 3.823 Å, c = 4.932 Å, α = 90.00°, β = 90.00° and γ = 90.00°. The asymmetric unit holds Ni at (0.000, 0.000, 0.000), Te at (0.000, 0.000, 0.500), W at (0.500, 0.500, 0.500) and N at (0.000, 0.500, 0.000).

The density of states at the Fermi level comes out at 5.79 states/eV/f.u. Its uncorrected energy is -5.85 eV per atom. As for the formation energy without anion corrections: 9.3 eV/f.u. For the offset from the most stable computed form, the calculation gives 6.44 eV per formula unit.



2.
Below is crystalline PmHoPt10 at its relaxed geometry, with properties calculated at the PBE-GGA level.

It has space group Pmmm (No. 47), with a = 4.455 Å, b = 5.389 Å, c = 9.283 Å, α = 90.00°, β = 90.00° and γ = 90.00°. The asymmetric unit holds Pm at (0.000, 0.000, 0.000), Ho at (0.000, 0.500, 0.500), Pt at (0.000, 0.000, 0.336), Pt at (0.000, 0.500, 0.170), Pt at (0.500, 0.000, 0.500), Pt at (0.500, 0.251, 0.252) and Pt at (0.500, 0.500, 0.000).

The density of states at the Fermi level comes out at 9.64 states/eV/f.u. Its uncorrected energy is -6.51 eV per atom. The value obtained for the formation energy is -0.6969 eV per atom.



3.
Below is crystalline Ce2ScSn3Pt4 at its relaxed geometry, with properties calculated at the PBE-GGA level.

It has space group P-4m2 (No. 115), with a = 4.540 Å, b = 4.540 Å, c = 11.006 Å, α = 90.00°, β = 90.00° and γ = 90.00°. The asymmetric unit holds Ce at (0.000, 0.500, 0.233), Sc at (0.000, 0.000, 0.500), Sn at (0.000, 0.500, 0.871), Sn at (0.500, 0.500, 0.500), Pt at (0.000, 0.000, 0.000), Pt at (0.000, 0.500, 0.636) and Pt at (0.500, 0.500, 0.000).

The density of states at the Fermi level comes out at 17.39 states/eV/f.u. Its uncorrected energy is -6.30 eV per atom. The value obtained for the formation energy is -0.8662 eV per atom.



4.
Below is crystalline CsCaBi at its relaxed geometry, with properties calculated at the PBE-GGA level.

It has space group Cmcm (No. 63), with a = 4.658 Å, b = 15.017 Å, c = 8.032 Å, α = 90.00°, β = 90.00° and γ = 90.00°. The asymmetric unit holds Cs at (0.000, 0.214, 0.250), Ca at (0.000, 0.500, 0.000) and Bi at (0.000, 0.076, 0.750).

The density of states at the Fermi level comes out at 0.10 states/eV/f.u. Its uncorrected energy is -2.79 eV per atom. The value obtained for the formation energy is -0.5427 eV per atom.